A relaxed Li2TmCd crystal. Source: Alexandria, functional PBE.

```
Li2TmCd
1.0
1.637 0.945 9.957
-1.637 0.945 9.957
0.000 -1.890 9.957
Li Tm Cd
2 1 1
Direct
0.000 0.000 0.000
0.183 0.183 0.183
0.424 0.424 0.424
0.592 0.592 0.592
```

Calculated values
Space-group type   R3m
Formation energy from the elements   0.13 eV per formula unit
Crystal system   trigonal
Fermi-level density of states   2.816 states/eV/f.u.
Spin magnetization   0.000 μB per atom
Distance to the lowest polymorph of the same formula   88 meV/atom

***

A relaxed Li2Tm3Cd4 crystal. Source: Alexandria, functional PBE.

```
Li2Tm3Cd4
1.0
5.370 -2.476 0.000
5.370 2.476 0.000
-4.925 0.000 7.778
Li Tm Cd
2 3 4
Direct
0.114 0.114 0.283
0.886 0.886 0.717
0.166 0.166 0.668
0.500 0.500 0.000
0.834 0.834 0.332
0.216 0.216 0.059
0.436 0.436 0.610
0.564 0.564 0.390
0.784 0.784 0.941
```

Calculated values
Space-group type   C2/m
Formation energy from the elements   -1.82 eV per formula unit
Crystal system   monoclinic
Fermi-level density of states   5.840 states/eV/f.u.
Spin magnetization   0.000 μB per atom

***

A relaxed Li2TmCd crystal. Source: Alexandria, functional PBE.

```
Li2TmCd
1.0
3.531 0.000 0.000
0.000 3.531 0.000
0.000 0.000 6.885
Li Tm Cd
2 1 1
Direct
0.000 0.000 0.206
0.000 0.000 0.794
0.500 0.500 0.500
0.500 0.500 0.000
```

Calculated values
Space-group type   P4/mmm
Formation energy from the elements   -0.16 eV per formula unit
Crystal system   tetragonal
Fermi-level density of states   2.924 states/eV/f.u.
Spin magnetization   0.000 μB per atom
Distance to the lowest polymorph of the same formula   15 meV/atom

***

A relaxed Li8TmCd6 crystal. Source: Alexandria, functional PBE.

```
Li8TmCd6
1.0
3.707 2.140 6.468
-3.707 2.140 6.468
0.000 -4.280 6.468
Li Tm Cd
8 1 6
Direct
0.102 0.370 0.633
0.236 0.236 0.236
0.367 0.898 0.630
0.370 0.633 0.102
0.630 0.367 0.898
0.633 0.102 0.370
0.764 0.764 0.764
0.898 0.630 0.367
0.500 0.500 0.500
0.097 0.874 0.361
0.126 0.639 0.903
0.361 0.097 0.874
0.639 0.903 0.126
0.874 0.361 0.097
0.903 0.126 0.639
```

Calculated values
Space-group type   R-3
Formation energy from the elements   -1.78 eV per formula unit
Crystal system   trigonal
Fermi-level density of states   5.604 states/eV/f.u.
Spin magnetization   0.000 μB per atom